VASP calculation (GGA-PBE) on a geometry-optimized La2ZnNi structure.

Properties
Total magnetization, μB per cell: 0.000
Density, Mg/m³: 7.07
Energy of formation, eV/atom: -0.090
DOS(E_F), states/eV per cell: 9.04
Volume, A^3/atom: 23.616

Unit cell a=4.296 b=4.296 c=10.235 alpha=90.00 beta=90.00 gamma=90.00
Space group I-4m2 (No. 119)
Symmetry-distinct sites (fractional):
La: 0.000 0.000 0.000
La: 0.000 0.500 0.250
Zn: 0.000 0.000 0.500
Ni: 0.000 0.500 0.750


VASP calculation (GGA-PBE) on a geometry-optimized K3TaHg structure.

Properties
Total magnetization, μB per cell: 5.926
Density, Mg/m³: 2.65
Energy of formation, eV/atom: 1.235
DOS(E_F), states/eV per cell: 7.92
Volume, A^3/atom: 62.569

Unit cell a=6.789 b=6.789 c=6.789 alpha=90.00 beta=90.00 gamma=90.00
Space group Pm-3m (No. 221)
Symmetry-distinct sites (fractional):
K: 0.000 0.000 0.500
Ta: 0.000 0.000 0.000
Hg: 0.500 0.500 0.500


VASP calculation (GGA-PBE) on a geometry-optimized Li4LaSm structure.

Properties
Total magnetization, μB per cell: 0.000
Density, Mg/m³: 3.45
Energy of formation, eV/atom: 0.108
DOS(E_F), states/eV per cell: 24.76
Volume, A^3/atom: 25.410

Unit cell a=8.480 b=8.480 c=8.480 alpha=90.00 beta=90.00 gamma=90.00
Space group F-43m (No. 216)
Symmetry-distinct sites (fractional):
Li: 0.125 0.125 0.125
La: 0.250 0.250 0.750
Sm: 0.000 0.000 0.500


VASP calculation (GGA-PBE) on a geometry-optimized LuHfZn structure.

Properties
Total magnetization, μB per cell: 0.001
Density, Mg/m³: 10.75
Energy of formation, eV/atom: -0.149
DOS(E_F), states/eV per cell: 4.84
Volume, A^3/atom: 21.575

Unit cell a=3.265 b=3.265 c=12.143 alpha=90.00 beta=90.00 gamma=90.00
Space group I4mm (No. 107)
Symmetry-distinct sites (fractional):
Lu: 0.000 0.000 0.000
Hf: 0.000 0.000 0.315
Zn: 0.000 0.000 0.668


VASP calculation (GGA-PBE) on a geometry-optimized Sn2Pb2Au3 structure.

Properties
Total magnetization, μB per cell: 0.000
Density, Mg/m³: 11.14
Energy of formation, eV/atom: -0.097
DOS(E_F), states/eV per cell: 3.04
Volume, A^3/atom: 26.455

Unit cell a=4.491 b=6.186 c=7.046 alpha=85.47 beta=71.66 gamma=89.52
Space group P-1 (No. 2)
Symmetry-distinct sites (fractional):
Sn: 0.100 0.127 0.300
Pb: 0.353 0.403 0.796
Au: 0.000 0.500 0.500
Au: 0.279 0.861 0.944


VASP calculation (GGA-PBE) on a geometry-optimized NaSi2Pt2 structure.

Properties
Total magnetization, μB per cell: 0.000
Formation energy (no corrections), eV/atom: -0.627
Density, Mg/m³: 9.00
DOS(E_F), states/eV per cell: 4.70
Volume, A^3/atom: 17.324

Unit cell a=4.123 b=4.123 c=10.192 alpha=90.00 beta=90.00 gamma=90.00
Space group P4/nmm (No. 129, origin choice 2)
Symmetry-distinct sites (fractional):
Na: 0.250 0.250 0.250
Si: 0.250 0.250 0.632
Si: 0.250 0.750 0.000
Pt: 0.250 0.250 0.871
Pt: 0.250 0.750 0.500


VASP calculation (GGA-PBE) on a geometry-optimized Rb3Ho3ScTe8 structure.

Properties
Total magnetization, μB per cell: 0.000
Formation energy (no corrections), eV/atom: -1.277
Density, Mg/m³: 5.19
DOS(E_F), states/eV per cell: 17.15
Volume, A^3/atom: 38.764

Unit cell a=8.6974 b=8.6974 c=26.6309 alpha=90.00 beta=90.00 gamma=120.00
Space group R-3m (No. 166, hexagonal axes)
Symmetry-distinct sites (fractional):
Rb: 0.0000 0.5000 0.0000
Ho: 0.0000 0.5000 0.5000
Sc: 0.0000 0.0000 0.5000
Te: 0.0000 0.0000 0.2334
Te: 0.0089 0.5044 0.2314


VASP calculation (GGA-PBE) on a geometry-optimized PrZrGa structure.

Properties
Total magnetization, μB per cell: 0.000
Density, Mg/m³: 6.85
Energy of formation, eV/atom: -0.209
DOS(E_F), states/eV per cell: 6.41
Volume, A^3/atom: 24.396

Unit cell a=3.251 b=3.251 c=13.850 alpha=90.00 beta=90.00 gamma=90.00
Space group I4mm (No. 107)
Symmetry-distinct sites (fractional):
Pr: 0.000 0.000 0.000
Zr: 0.000 0.000 0.294
Ga: 0.000 0.000 0.663